# 1
Material: PuFe4
Method: DFT, PBE
State: optimized geometry

## Properties
* volume: 88.56 Å³ per cell
* raw total energy: -8.24 eV/atom
* space-group type: Pm-3m (221)

```
data_PuFe4
_cell_length_a 4.457
_cell_length_b 4.457
_cell_length_c 4.457
_cell_angle_alpha 90.00
_cell_angle_beta 90.00
_cell_angle_gamma 90.00
_symmetry_space_group_name_H-M 'P 1'
_symmetry_Int_Tables_number 1
loop_
_symmetry_equiv_pos_as_xyz
'x,y,z'
loop_
_atom_site_label
_atom_site_type_symbol
_atom_site_fract_x
_atom_site_fract_y
_atom_site_fract_z
Pu1 Pu 0.000 0.000 0.000
Fe1 Fe 0.000 0.000 0.500
Fe2 Fe 0.000 0.500 0.000
Fe3 Fe 0.500 0.000 0.000
Fe4 Fe 0.500 0.500 0.500
```

# 2
Material: Li11Ag9Hg4
Method: DFT, PBE
State: optimized geometry

## Properties
* volume: 413.61 Å³ per cell
* raw total energy: -2.22 eV/atom
* space-group type: Cmmm (65)

```
data_Li11Ag9Hg4
_cell_length_a 11.964
_cell_length_b 11.964
_cell_length_c 3.066
_cell_angle_alpha 90.00
_cell_angle_beta 90.00
_cell_angle_gamma 109.55
_symmetry_space_group_name_H-M 'P 1'
_symmetry_Int_Tables_number 1
loop_
_symmetry_equiv_pos_as_xyz
'x,y,z'
loop_
_atom_site_label
_atom_site_type_symbol
_atom_site_fract_x
_atom_site_fract_y
_atom_site_fract_z
Li1 Li 0.000 0.000 0.000
Li2 Li 0.047 0.406 0.000
Li3 Li 0.181 0.819 0.000
Li4 Li 0.211 0.211 0.000
Li5 Li 0.366 0.634 0.000
Li6 Li 0.406 0.047 0.000
Li7 Li 0.594 0.953 0.000
Li8 Li 0.634 0.366 0.000
Li9 Li 0.789 0.789 0.000
Li10 Li 0.819 0.181 0.000
Li11 Li 0.953 0.594 0.000
Ag1 Ag 0.014 0.201 0.500
Ag2 Ag 0.156 0.624 0.500
Ag3 Ag 0.201 0.014 0.500
Ag4 Ag 0.376 0.844 0.500
Ag5 Ag 0.500 0.500 0.500
Ag6 Ag 0.624 0.156 0.500
Ag7 Ag 0.799 0.986 0.500
Ag8 Ag 0.844 0.376 0.500
Ag9 Ag 0.986 0.799 0.500
Hg1 Hg 0.245 0.419 0.500
Hg2 Hg 0.419 0.245 0.500
Hg3 Hg 0.581 0.755 0.500
Hg4 Hg 0.755 0.581 0.500
```

# 3
Material: HoReW
Method: DFT, PBE
State: optimized geometry

## Properties
* volume: 230.85 Å³ per cell
* E above lowest polymorph: 12 meV/atom
* space-group type: Amm2 (38)

```
data_HoReW
_cell_length_a 8.800
_cell_length_b 5.497
_cell_length_c 5.497
_cell_angle_alpha 60.25
_cell_angle_beta 90.00
_cell_angle_gamma 90.00
_symmetry_space_group_name_H-M 'P 1'
_symmetry_Int_Tables_number 1
loop_
_symmetry_equiv_pos_as_xyz
'x,y,z'
loop_
_atom_site_label
_atom_site_type_symbol
_atom_site_fract_x
_atom_site_fract_y
_atom_site_fract_z
Ho1 Ho 0.184 0.000 0.000
Ho2 Ho 0.308 0.666 0.666
Ho3 Ho 0.692 0.666 0.666
Ho4 Ho 0.816 0.000 0.000
Re1 Re 0.000 0.505 0.505
Re2 Re 0.000 0.505 0.991
Re3 Re 0.000 0.991 0.505
Re4 Re 0.500 0.162 0.162
W1 W 0.244 0.332 0.332
W2 W 0.500 0.165 0.672
W3 W 0.500 0.672 0.165
W4 W 0.756 0.332 0.332
```